Entry 1:
Compound: YGa4RuRh2
Source: Alexandria via LeMat-Bulk
Functional: PBE
Structure: relaxed

Output
**Calculated formation energy**: -0.6358 eV per atom
**Symmetry**: No. 166
**Density of states at the Fermi level**: 3.638 states/eV/f.u.

Unit cell a=8.9032 b=8.9032 c=8.9032 alpha=27.49 beta=27.49 gamma=27.49
Sites, in units of the cell vectors:
Y  0.0000  0.0000  0.0000
Ga  0.1323  0.1323  0.1323
Ga  0.3998  0.3998  0.3998
Ga  0.6002  0.6002  0.6002
Ga  0.8677  0.8677  0.8677
Ru  0.5000  0.5000  0.5000
Rh  0.2393  0.2393  0.2393
Rh  0.7607  0.7607  0.7607



Entry 2:
Compound: BeVBTe2
Source: Alexandria via LeMat-Bulk
Functional: PBE
Structure: relaxed

Output
**Symmetry**: No. 123
**Density of states at the Fermi level**: 3.590 states/eV/f.u.
**Formation energy from raw total energies**: 0.961 eV/atom

Unit cell a=5.1657 b=5.1657 c=4.0303 alpha=90.00 beta=90.00 gamma=90.00
Sites, in units of the cell vectors:
Be  0.0000  0.0000  0.0000
V  0.5000  0.5000  0.5000
B  0.5000  0.5000  0.0000
Te  0.0000  0.5000  0.5000
Te  0.5000  0.0000  0.5000



Entry 3:
Compound: Y2CrSe
Source: Alexandria via LeMat-Bulk
Functional: PBE
Structure: relaxed

Output
**Symmetry**: No. 122
**Density of states at the Fermi level**: 5.244 states/eV/f.u.
**Formation energy from raw total energies**: -0.155 eV/atom

Unit cell a=6.5225 b=6.5225 c=6.5225 alpha=106.84 beta=106.84 gamma=114.86
Sites, in units of the cell vectors:
Y  0.1102  0.6250  0.9852
Y  0.3750  0.3602  0.4852
Y  0.6398  0.1250  0.0148
Y  0.8750  0.8898  0.5148
Cr  0.2500  0.7500  0.5000
Cr  0.5000  0.5000  0.0000
Se  0.0000  0.0000  0.0000
Se  0.7500  0.2500  0.5000